# SmY3Te

SmY3Te after structural relaxation (PBE, Alexandria).

The structure in POSCAR format:
```
SmY3Te
1.0
3.6438 0.0000 -1.0700
-0.7007 9.7794 -2.3863
0.6605 -0.2205 8.9884
Y Te Sm
6 2 2
direct
0.3212 0.1520 0.6425 Y
0.9984 0.7954 0.9968 Y
0.6788 0.8480 0.3575 Y
0.0016 0.2046 0.0032 Y
0.1004 0.5450 0.2008 Y
0.8996 0.4550 0.7992 Y
0.8632 0.9346 0.7263 Te
0.1368 0.0654 0.2737 Te
0.7018 0.3377 0.4037 Sm
0.2982 0.6623 0.5963 Sm
```

Computed properties:
N(E_F) = 6.31 states/eV/f.u.
Energy above the most stable polymorph in this dataset = 0 meV per atom
Total magnetic moment = 0.000 μB per formula unit
Calculated volume = 32.51 Å³/atom
Total DFT energy (no corrections) = -5.824 eV per atom